## NaMoW3 (GGA-PBE)

Data for a geometry-optimized NaMoW3 structure.

Cell: 4.4635 4.4635 4.4635 Å, 90.00 90.00 90.00°
Sites, in units of the cell vectors:
1 Na 0.0000 0.0000 0.0000
2 W 0.5000 0.0000 0.0000
3 W 0.0000 0.0000 0.5000
4 Mo 0.5000 0.5000 0.5000
5 W 0.0000 0.5000 0.0000

**Spin magnetization**: 0.00 μB/f.u.
**Formation energy**: 2986 meV per atom
**DOS(E_F)**: 1.3088 states/eV per atom

***

## RbPa2GeO8 (GGA-PBE)

Data for a geometry-optimized RbPa2GeO8 structure.

Cell: 4.8931 4.8905 7.5875 Å, 90.00 90.00 87.33°
Sites, in units of the cell vectors:
1 O 0.1962 0.8039 0.1816
2 O 0.7041 0.7041 0.0000
3 Pa 0.5000 0.5000 0.2270
4 O 0.2959 0.2959 0.0000
5 Ge 0.0000 0.0000 0.0000
6 Pa 0.5000 0.5000 0.7730
7 O 0.1962 0.8038 0.8184
8 O 0.6456 0.6457 0.5000
9 Rb 0.0000 0.0000 0.5000
10 O 0.8038 0.1961 0.8184
11 O 0.3544 0.3543 0.5000
12 O 0.8038 0.1962 0.1816

**Spin magnetization**: 0.97 μB/f.u.
**DFT total energy**: -7.8282 eV/atom

***

## LiZn2P2 (GGA-PBE)

Data for a geometry-optimized LiZn2P2 structure.

Cell: 7.1467 7.1467 3.1375 Å, 90.00 90.00 90.00°
Sites, in units of the cell vectors:
1 Zn 0.3665 0.1335 0.5000
2 P 0.3305 0.8305 0.0000
3 Zn 0.8665 0.3665 0.5000
4 Li 0.5000 0.5000 0.0000
5 Zn 0.1335 0.6335 0.5000
6 Li 0.0000 0.0000 0.0000
7 Zn 0.6335 0.8665 0.5000
8 P 0.6695 0.1695 0.0000
9 P 0.1695 0.3305 0.0000
10 P 0.8305 0.6695 0.0000

**Spin magnetization**: 0.00 μB/f.u.
**Formation energy**: -10 meV per atom
**DOS(E_F)**: 0.2864 states/eV per atom